[1]
! Tm2MnGe3Ir4 (PBE-GGA, relaxed); values from VASP
&SYSTEM
  ibrav = 0, nat = 10, ntyp = 4
/
ATOMIC_SPECIES
Ir 192.22 Ir.upf
Tm 168.93 Tm.upf
Ge 72.64 Ge.upf
Mn 54.94 Mn.upf
CELL_PARAMETERS angstrom
4.0869 0.0000 0.0000
0.0000 4.0869 0.0000
0.0000 0.0000 10.6221
ATOMIC_POSITIONS crystal
Ir 0.5000 0.0000 0.6405
Ir 0.0000 0.0000 0.0000
Ir 0.0000 0.5000 0.3595
Ir 0.5000 0.5000 0.0000
Tm 0.0000 0.5000 0.7556
Tm 0.5000 0.0000 0.2444
Ge 0.5000 0.0000 0.8680
Ge 0.0000 0.0000 0.5000
Ge 0.0000 0.5000 0.1320
Mn 0.5000 0.5000 0.5000
! Symmetry: P-4m2, No. 115
! Energy of formation from the pure elements in eV per atom: -0.68
! Raw total energy in eV/atom: -7.417

=====

[2]
! NaLi2Pm2Pb2 (PBE-GGA, relaxed); values from VASP
&SYSTEM
  ibrav = 0, nat = 7, ntyp = 4
/
ATOMIC_SPECIES
Li 6.94 Li.upf
Pm 145.00 Pm.upf
Na 22.99 Na.upf
Pb 207.20 Pb.upf
CELL_PARAMETERS angstrom
-3.4083 -1.1536 3.3698
-4.5961 -1.0856 -1.4143
-0.3332 -9.7108 -0.0553
ATOMIC_POSITIONS crystal
Li 0.6169 0.6169 0.1493
Li 0.3831 0.3831 0.8507
Pm 0.1246 0.1246 0.6263
Pm 0.8754 0.8754 0.3737
Na 0.0000 0.0000 0.0000
Pb 0.7412 0.7412 0.7765
Pb 0.2588 0.2588 0.2235
! Symmetry: R-3m, No. 166
! Energy of formation from the pure elements in eV per atom: -0.28
! Raw total energy in eV/atom: -3.430

=====

[3]
! ScSiAs (PBE-GGA, relaxed); values from VASP
&SYSTEM
  ibrav = 0, nat = 3, ntyp = 3
/
ATOMIC_SPECIES
As 74.92 As.upf
Si 28.09 Si.upf
Sc 44.96 Sc.upf
CELL_PARAMETERS angstrom
-0.5733 -1.9305 -2.8909
3.0805 1.6545 0.4312
2.0284 -4.4454 2.5662
ATOMIC_POSITIONS crystal
As 0.0000 0.0000 0.9681
Si 0.6667 0.3333 0.7038
Sc 0.3333 0.6667 0.3281
! Symmetry: P3m1, No. 156
! Raw total energy in eV/atom: -5.626
! Formation energy without anion corrections in meV/atom: -158

=====

[4]
! DyScPa2P4 (PBE-GGA, relaxed); values from VASP
&SYSTEM
  ibrav = 0, nat = 8, ntyp = 4
/
ATOMIC_SPECIES
Pa 231.04 Pa.upf
P 30.97 P.upf
Dy 162.50 Dy.upf
Sc 44.96 Sc.upf
CELL_PARAMETERS angstrom
-1.3163 0.1578 -3.7077
1.9752 -6.4078 -0.9739
-5.0866 -4.2314 1.6258
ATOMIC_POSITIONS crystal
Pa 0.0000 0.0000 0.0000
Pa 0.5000 0.0000 0.5000
P 0.0000 0.7434 0.7584
P 0.5000 0.2524 0.7556
P 0.0000 0.2566 0.2416
P 0.5000 0.7476 0.2444
Dy 0.0000 0.5000 0.5000
Sc 0.5000 0.5000 0.0000
! Symmetry: P2/m, No. 10
! Energy of formation from the pure elements in eV per atom: -1.41
! Raw total energy in eV/atom: -7.857

=====

Number 3 is which compound?
ScSiAs